# 1
Here is an optimized crystal structure of BaSr2HgSe4 from Alexandria via LeMat-Bulk. Energies are from PBE.

## Properties
Raw formation energy (meV per atom): -1554

abc: 7.783 7.783 15.445
angles: 90.00 90.00 146.81
Element x y z (fractional)
Ba 0.123 0.877 0.750
Ba 0.877 0.123 0.250
Sr 0.372 0.628 0.556
Sr 0.372 0.628 0.944
Sr 0.628 0.372 0.056
Sr 0.628 0.372 0.444
Hg 0.151 0.849 0.250
Hg 0.849 0.151 0.750
Se 0.000 0.000 0.000
Se 0.000 0.000 0.500
Se 0.270 0.730 0.120
Se 0.270 0.730 0.380
Se 0.455 0.545 0.750
Se 0.545 0.455 0.250
Se 0.730 0.270 0.620
Se 0.730 0.270 0.880

=====

# 2
Here is an optimized crystal structure of Ba2TlHgSe5 from Alexandria via LeMat-Bulk. Energies are from PBE.

## Properties
Raw formation energy (meV per atom): -921

abc: 10.357 10.357 12.763
angles: 90.00 90.00 155.70
Element x y z (fractional)
Ba 0.115 0.885 0.500
Ba 0.123 0.877 0.121
Ba 0.877 0.123 0.621
Ba 0.885 0.115 0.000
Tl 0.436 0.564 0.272
Tl 0.564 0.436 0.772
Hg 0.239 0.761 0.843
Hg 0.761 0.239 0.343
Se 0.042 0.958 0.890
Se 0.278 0.722 0.488
Se 0.302 0.698 0.207
Se 0.370 0.630 0.813
Se 0.497 0.503 0.087
Se 0.503 0.497 0.587
Se 0.630 0.370 0.313
Se 0.698 0.302 0.707
Se 0.722 0.278 0.988
Se 0.958 0.042 0.390

=====

# 3
Here is an optimized crystal structure of BaTlHg2Se from Alexandria via LeMat-Bulk. Energies are from PBE.

## Properties
Raw formation energy (meV per atom): -149

abc: 6.511 6.511 6.051
angles: 90.00 90.00 90.00
Element x y z (fractional)
Ba 0.000 0.000 0.000
Tl 0.500 0.500 0.500
Hg 0.000 0.500 0.000
Hg 0.500 0.000 0.000
Se 0.000 0.000 0.500